Entry 1:
First-principles (GGA-PBE) data for Rb3TlAu4 after structural relaxation, as listed in Alexandria via LeMat-Bulk.

Unit cell a=7.0745 b=7.7179 c=9.8064 alpha=90.00 beta=90.00 gamma=90.00
Space group Imm2 (No. 44)
One atom of each set of equivalent atoms:
1 Rb 0.0000 0.0000 0.0000 [2 per cell]
2 Rb 0.0000 0.2443 0.3634 [4 per cell]
3 Tl 0.0000 0.5000 0.9775 [2 per cell]
4 Au 0.0000 0.3175 0.7198 [4 per cell]
5 Au 0.1933 0.0000 0.6546 [4 per cell]

For the final energy, the calculation gives -40.3 eV for the cell shown. The energy above the most stable polymorph in this dataset comes out at 0 kJ/mol of formula units. For the formation energy, the calculation gives -5.126 kcal/mol of atoms.

---

Entry 2:
First-principles (GGA-PBE) data for Rb2Tl3Au after structural relaxation, as listed in Alexandria via LeMat-Bulk.

Unit cell a=12.5469 b=5.3916 c=8.8804 alpha=90.00 beta=133.92 gamma=90.00
Space group Cm (No. 8)
One atom of each set of equivalent atoms:
1 Rb 0.0000 0.0000 0.0000 [2 per cell]
2 Rb 0.1458 0.0000 0.6286 [2 per cell]
3 Tl 0.2079 0.5000 0.0112 [2 per cell]
4 Tl 0.2540 0.5000 0.4129 [2 per cell]
5 Tl 0.3961 0.0000 0.2271 [2 per cell]
6 Au 0.4112 0.0000 0.5737 [2 per cell]

For the final energy, the calculation gives -26.5 eV for the cell shown. For the formation energy, the calculation gives -3.555 kcal/mol of atoms.

---

Entry 3:
First-principles (GGA-PBE) data for Rb3TlAu after structural relaxation, as listed in Alexandria via LeMat-Bulk.

Unit cell a=10.3641 b=7.1286 c=14.0955 alpha=90.00 beta=100.90 gamma=90.00
Space group P2_1/c (No. 14)
One atom of each set of equivalent atoms:
1 Rb 0.0269 0.1210 0.3425 [4 per cell]
2 Rb 0.3086 0.7228 0.4739 [4 per cell]
3 Rb 0.3773 0.1335 0.7245 [4 per cell]
4 Tl 0.0888 0.1119 0.0808 [4 per cell]
5 Au 0.2712 0.6166 0.7205 [4 per cell]

For the final energy, the calculation gives -37.1 eV for the cell shown. The energy above the most stable polymorph in this dataset comes out at 0 kJ/mol of formula units. For the formation energy, the calculation gives -3.305 kcal/mol of atoms.

---

Entry 4:
First-principles (GGA-PBE) data for Rb3TlAu after structural relaxation, as listed in Alexandria via LeMat-Bulk.

Unit cell a=13.3146 b=11.0436 c=9.1615 alpha=90.00 beta=131.62 gamma=90.00
Space group C2/m (No. 12)
One atom of each set of equivalent atoms:
1 Rb 0.0606 0.0000 0.3485 [4 per cell]
2 Rb 0.2203 0.3064 0.7656 [8 per cell]
3 Tl 0.0626 0.5000 0.2419 [4 per cell]
4 Au 0.2164 0.5000 0.1096 [4 per cell]

For the final energy, the calculation gives -36.3 eV for the cell shown. The energy above the most stable polymorph in this dataset comes out at 17 kJ/mol of formula units. For the formation energy, the calculation gives -2.481 kcal/mol of atoms.

---

Entry 5:
First-principles (GGA-PBE) data for Rb6TlAu2 after structural relaxation, as listed in Alexandria via LeMat-Bulk.

Unit cell a=11.5520 b=11.9708 c=13.0399 alpha=90.00 beta=90.00 gamma=90.00
Space group Immm (No. 71)
One atom of each set of equivalent atoms:
1 Rb 0.0000 0.1716 0.1558 [8 per cell]
2 Rb 0.1768 0.2094 0.5000 [8 per cell]
3 Rb 0.1901 0.5000 0.2442 [8 per cell]
4 Tl 0.0000 0.5000 0.0000 [2 per cell]
5 Tl 0.0000 0.5000 0.5000 [2 per cell]
6 Au 0.0000 0.0000 0.3852 [4 per cell]
7 Au 0.2300 0.0000 0.0000 [4 per cell]

For the final energy, the calculation gives -64.3 eV for the cell shown. For the formation energy, the calculation gives -3.483 kcal/mol of atoms.

---

Entry 6:
First-principles (GGA-PBE) data for Rb2Tl2Au after structural relaxation, as listed in Alexandria via LeMat-Bulk.

Unit cell a=7.7905 b=7.7905 c=6.2100 alpha=90.00 beta=90.00 gamma=90.00
Space group P4/mbm (No. 127)
One atom of each set of equivalent atoms:
1 Rb 0.1840 0.3160 0.0000 [4 per cell]
2 Tl 0.1392 0.6392 0.5000 [4 per cell]
3 Au 0.0000 0.0000 0.5000 [2 per cell]

For the final energy, the calculation gives -20.4 eV for the cell shown. The energy above the most stable polymorph in this dataset comes out at 43 kJ/mol of formula units. For the formation energy, the calculation gives -1.268 kcal/mol of atoms.

---

Entry 7:
First-principles (GGA-PBE) data for Rb4Tl2Au3 after structural relaxation, as listed in Alexandria via LeMat-Bulk.

Unit cell a=20.0610 b=4.3996 c=8.6210 alpha=90.00 beta=109.14 gamma=90.00
Space group C2/m (No. 12)
One atom of each set of equivalent atoms:
1 Rb 0.0617 0.0000 0.3773 [4 per cell]
2 Rb 0.2445 0.0000 0.7788 [4 per cell]
3 Tl 0.0983 0.0000 0.9838 [4 per cell]
4 Au 0.0000 0.5000 0.0000 [2 per cell]
5 Au 0.0985 0.5000 0.7502 [4 per cell]

For the final energy, the calculation gives -39.8 eV for the cell shown. For the formation energy, the calculation gives -3.743 kcal/mol of atoms.

---

Entry 8:
First-principles (GGA-PBE) data for RbTlAu3 after structural relaxation, as listed in Alexandria via LeMat-Bulk.

Unit cell a=5.4658 b=5.4658 c=5.4658 alpha=90.00 beta=90.00 gamma=90.00
Space group Pm-3m (No. 221)
One atom of each set of equivalent atoms:
1 Rb 0.0000 0.0000 0.0000 [1 per cell]
2 Tl 0.5000 0.5000 0.5000 [1 per cell]
3 Au 0.0000 0.5000 0.5000 [3 per cell]

For the final energy, the calculation gives -12.9 eV for the cell shown. The energy above the most stable polymorph in this dataset comes out at 62 kJ/mol of formula units. For the formation energy, the calculation gives 1.402 kcal/mol of atoms.

---

Please write out number 6 again, unchanged.
First-principles (GGA-PBE) data for Rb2Tl2Au after structural relaxation, as listed in Alexandria via LeMat-Bulk.

Unit cell a=7.7905 b=7.7905 c=6.2100 alpha=90.00 beta=90.00 gamma=90.00
Space group P4/mbm (No. 127)
One atom of each set of equivalent atoms:
1 Rb 0.1840 0.3160 0.0000 [4 per cell]
2 Tl 0.1392 0.6392 0.5000 [4 per cell]
3 Au 0.0000 0.0000 0.5000 [2 per cell]

For the final energy, the calculation gives -20.4 eV for the cell shown. The energy above the most stable polymorph in this dataset comes out at 43 kJ/mol of formula units. For the formation energy, the calculation gives -1.268 kcal/mol of atoms.